Computed, not measured: a relaxed structure of Ce6Tc2Ir at the PBE level of DFT.

Unit cell a=6.4886 b=7.1329 c=9.7321 alpha=90.00 beta=91.99 gamma=90.00
Last column: nearest neighbours and their distance in Å.
Fractional positions:
Ce1 0.8384 0.9305 0.2336  1 Tc 2.50
Ce2 0.8357 0.6485 0.5554  1 Ir 2.78, 2 Tc 2.99-3.05
Ce3 0.8481 0.6848 0.9285  1 Ir 2.73, 2 Tc 2.84-3.04
Ce4 0.6519 0.1848 0.5715  1 Ir 2.73, 2 Tc 2.84-3.04
Ce5 0.6643 0.1485 0.9446  1 Ir 2.78, 2 Tc 2.99-3.05
Ce6 0.6616 0.4305 0.2664  1 Tc 2.50
Ce7 0.1616 0.0695 0.7664  1 Tc 2.50
Ce8 0.1643 0.3515 0.4446  1 Ir 2.78, 2 Tc 2.99-3.05
Ce9 0.1519 0.3152 0.0715  1 Ir 2.73, 2 Tc 2.84-3.04
Ce10 0.3481 0.8152 0.4285  1 Ir 2.73, 2 Tc 2.84-3.04
Ce11 0.3357 0.8515 0.0554  1 Ir 2.78, 2 Tc 2.99-3.05
Ce12 0.3384 0.5695 0.7336  1 Tc 2.50
Tc1 0.9622 0.3691 0.7708  1 Ce 2.50
Tc2 0.5378 0.8691 0.7292  1 Ce 2.50
Tc3 0.4622 0.1309 0.2708  1 Ce 2.50
Tc4 0.0378 0.6309 0.2292  1 Ce 2.50
Ir1 0.5000 0.5000 0.0000  6 Ce 2.73-2.81
Ir2 0.0000 0.0000 0.5000  6 Ce 2.73-2.81

Calculated values
M_tot in μB per formula unit: 0.00
Energy above the most stable polymorph in this dataset in eV per atom: 0.0396



Computed, not measured: a relaxed structure of Ce8TcIr2 at the PBE level of DFT.

Unit cell a=5.8106 b=7.4368 c=7.4368 alpha=115.75 beta=100.84 gamma=100.84
Last column: nearest neighbours and their distance in Å.
Fractional positions:
Ce1 0.5862 0.3058 0.0900  2 Ce 2.72-2.88, 2 Ir 2.83-2.92
Ce2 0.5862 0.0900 0.3058  2 Ce 2.72-2.88, 2 Ir 2.83-2.92
Ce3 0.1642 0.3685 0.3685  1 Tc 2.74, 2 Ir 3.03
Ce4 0.0004 0.2216 0.7856  1 Tc 2.75
Ce5 0.0004 0.7856 0.2216  1 Tc 2.75
Ce6 0.8374 0.6405 0.6405  1 Tc 2.65
Ce7 0.4147 0.9169 0.7010  2 Ce 2.72-2.88, 2 Ir 2.83-2.92
Ce8 0.4147 0.7010 0.9169  2 Ce 2.72-2.88, 2 Ir 2.83-2.92
Tc1 0.9983 0.9989 0.9989  4 Ce 2.65-2.75
Ir1 0.4986 0.6928 0.3124  8 Ce 2.83-3.13
Ir2 0.4986 0.3124 0.6928  8 Ce 2.83-3.13

Calculated values
M_tot in μB per formula unit: 2.07
Energy above the most stable polymorph in this dataset in eV per atom: 0.0163



Computed, not measured: a relaxed structure of Ce6Tc2Ir at the PBE level of DFT.

Unit cell a=8.2473 b=8.2473 c=8.2473 alpha=100.57 beta=111.20 gamma=117.07
Last column: nearest neighbours and their distance in Å.
Fractional positions:
Ce1 0.5300 0.7096 0.8204  3 Tc 2.86-2.88, 1 Ir 3.01
Ce2 0.4700 0.2904 0.1796  3 Tc 2.86-2.88, 1 Ir 3.01
Ce3 0.1107 0.2904 0.8204  3 Tc 2.86-2.88, 1 Ir 3.01
Ce4 0.8893 0.7096 0.1796  3 Tc 2.86-2.88, 1 Ir 3.01
Ce5 0.8123 0.7597 0.5720  2 Tc 2.85-3.16, 1 Ir 3.08
Ce6 0.1877 0.2403 0.4280  2 Tc 2.85-3.16, 1 Ir 3.08
Ce7 0.1877 0.7597 0.9474  2 Tc 2.85-3.16, 1 Ir 3.08
Ce8 0.8123 0.2403 0.0526  2 Tc 2.85-3.16, 1 Ir 3.08
Ce9 0.7127 0.3748 0.6622  3 Tc 2.76-2.97, 1 Ir 3.01
Ce10 0.2873 0.6252 0.3378  3 Tc 2.76-2.97, 1 Ir 3.01
Ce11 0.2873 0.9495 0.6622  3 Tc 2.76-2.97, 1 Ir 3.01
Ce12 0.7127 0.0505 0.3378  3 Tc 2.76-2.97, 1 Ir 3.01
Tc1 0.5000 0.3578 0.8578  6 Ce 2.76-2.88, 1 Tc 3.00
Tc2 0.5000 0.6422 0.1422  6 Ce 2.76-2.88, 1 Tc 3.00
Tc3 0.6722 0.0000 0.6722  8 Ce 2.85-2.97, 1 Ir 3.06
Tc4 0.3278 0.0000 0.3278  8 Ce 2.85-2.97, 1 Ir 3.06
Ir1 0.0000 0.5000 0.5000  8 Ce 3.01-3.25
Ir2 0.0000 0.0000 0.0000  8 Ce 3.01-3.08, 2 Tc 3.06

Calculated values
M_tot in μB per formula unit: 0.65
Energy above the most stable polymorph in this dataset in eV per atom: 0.0000



Computed, not measured: a relaxed structure of Ce4TcIr at the PBE level of DFT.

Unit cell a=6.0940 b=7.5783 c=7.5783 alpha=110.05 beta=106.41 gamma=106.41
Last column: nearest neighbours and their distance in Å.
Fractional positions:
Ce1 0.7955 0.6021 0.7622  2 Ce 2.93-3.17, 2 Tc 2.95-3.08, 2 Ir 2.95-2.96
Ce2 0.0904 0.9409 0.3009  2 Tc 2.82-2.89, 2 Ir 3.00-3.01
Ce3 0.7045 0.2378 0.3979  2 Ce 2.93-3.17, 2 Tc 2.95-3.08, 2 Ir 2.95-2.96
Ce4 0.4096 0.6991 0.0591  2 Tc 2.82-2.89, 2 Ir 3.00-3.01
Ce5 0.5904 0.3009 0.9409  2 Tc 2.82-2.89, 2 Ir 3.00-3.01
Ce6 0.2955 0.7622 0.6021  2 Ce 2.93-3.17, 2 Tc 2.95-3.08, 2 Ir 2.95-2.96
Ce7 0.9096 0.0591 0.6991  2 Tc 2.82-2.89, 2 Ir 3.00-3.01
Ce8 0.2045 0.3979 0.2378  2 Ce 2.93-3.17, 2 Tc 2.95-3.08, 2 Ir 2.95-2.96
Tc1 0.2500 0.9981 0.0019  8 Ce 2.82-3.08, 2 Tc 3.05
Tc2 0.7500 0.0019 0.9981  8 Ce 2.82-3.08, 2 Tc 3.05
Ir1 0.7500 0.6273 0.3727  8 Ce 2.95-3.01
Ir2 0.2500 0.3727 0.6273  8 Ce 2.95-3.01

Calculated values
M_tot in μB per formula unit: 0.00
Energy above the most stable polymorph in this dataset in eV per atom: 0.0000



Computed, not measured: a relaxed structure of CeTcIr at the PBE level of DFT.

Unit cell a=5.0593 b=5.0593 c=6.3284 alpha=81.67 beta=128.76 gamma=113.46
Last column: nearest neighbours and their distance in Å.
Fractional positions:
Ce1 0.2370 0.6286 0.8655  2 Ir 2.72, 1 Ce 2.85, 2 Tc 2.94
Ce2 0.7630 0.3714 0.1345  2 Ir 2.72, 1 Ce 2.85, 2 Tc 2.94
Ir1 0.0000 0.0000 0.5000  2 Tc 2.67, 2 Ce 2.72, 2 Ir 2.78
Ir2 0.5000 0.5000 0.5000  2 Tc 2.67, 2 Ce 2.72, 2 Ir 2.78
Tc1 0.2445 0.9880 0.2325  2 Tc 2.41-2.66, 2 Ir 2.67
Tc2 0.7555 0.0120 0.7675  2 Tc 2.41-2.66, 2 Ir 2.67

Calculated values
M_tot in μB per formula unit: 0.00
Energy in eV for the cell shown: -51.63



Computed, not measured: a relaxed structure of Ce8TcIr2 at the PBE level of DFT.

Unit cell a=4.6602 b=6.7141 c=9.2417 alpha=109.78 beta=104.60 gamma=90.00
Last column: nearest neighbours and their distance in Å.
Fractional positions:
Ce1 0.4113 0.5106 0.8227  2 Ir 2.92, 3 Ce 3.02-3.22, 1 Tc 3.11
Ce2 0.6709 0.0233 0.3419  3 Ir 2.82-2.97, 2 Ce 2.94, 1 Tc 3.01
Ce3 0.8028 0.6926 0.6057  2 Ce 2.94, 1 Ir 3.18
Ce4 0.9944 0.2392 0.9888  2 Tc 2.85, 1 Ir 2.87, 2 Ce 3.02
Ce5 0.1972 0.3074 0.3943  2 Ce 2.94, 1 Ir 3.18
Ce6 0.3291 0.9767 0.6581  3 Ir 2.82-2.97, 2 Ce 2.94, 1 Tc 3.01
Ce7 0.5887 0.4894 0.1773  2 Ir 2.92, 3 Ce 3.02-3.22, 1 Tc 3.11
Ce8 0.0056 0.7608 0.0112  2 Tc 2.85, 1 Ir 2.87, 2 Ce 3.02
Tc1 0.5000 0.0000 0.0000  8 Ce 2.85-3.11
Ir1 0.8363 0.2576 0.6726  6 Ce 2.82-2.97
Ir2 0.1637 0.7424 0.3274  6 Ce 2.82-2.97

Calculated values
M_tot in μB per formula unit: 0.84
Energy above the most stable polymorph in this dataset in eV per atom: 0.0000



Computed, not measured: a relaxed structure of Ce5Tc2Ir at the PBE level of DFT.

Unit cell a=5.4632 b=6.8070 c=13.7051 alpha=90.00 beta=90.00 gamma=113.66
Last column: nearest neighbours and their distance in Å.
Fractional positions:
Ce1 0.9613 0.9226 0.8814  1 Tc 2.36
Ce2 0.9613 0.9226 0.6186  1 Tc 2.36
Ce3 0.3373 0.6747 0.4306  2 Tc 2.74, 1 Ir 2.96
Ce4 0.3373 0.6747 0.0694  2 Tc 2.74, 1 Ir 2.96
Ce5 0.7351 0.4702 0.2500  2 Ir 2.75, 2 Tc 2.92
Ce6 0.2649 0.5298 0.7500  2 Ir 2.75, 2 Tc 2.92
Ce7 0.6627 0.3253 0.5694  2 Tc 2.74, 1 Ir 2.96
Ce8 0.6627 0.3253 0.9306  2 Tc 2.74, 1 Ir 2.96
Ce9 0.0387 0.0774 0.1186  1 Tc 2.36
Ce10 0.0387 0.0774 0.3814  1 Tc 2.36
Tc1 0.8580 0.7159 0.4317  1 Ce 2.36
Tc2 0.8580 0.7159 0.0683  1 Ce 2.36
Tc3 0.1420 0.2841 0.5683  1 Ce 2.36
Tc4 0.1420 0.2841 0.9317  1 Ce 2.36
Ir1 0.7933 0.5866 0.7500  6 Ce 2.75-2.96
Ir2 0.2067 0.4134 0.2500  6 Ce 2.75-2.96

Calculated values
M_tot in μB per formula unit: 2.30
Energy in eV for the cell shown: -119.96



Computed, not measured: a relaxed structure of Ce4TcIr at the PBE level of DFT.

Unit cell a=5.2146 b=5.9146 c=10.2209 alpha=90.00 beta=104.78 gamma=90.00
Last column: nearest neighbours and their distance in Å.
Fractional positions:
Ce1 0.8887 0.2391 0.7773  1 Tc 2.39
Ce2 0.1113 0.7391 0.2227  1 Tc 2.39
Ce3 0.4405 0.8317 0.8811  3 Ir 2.73-3.02
Ce4 0.5595 0.3317 0.1189  3 Ir 2.73-3.02
Ce5 0.7237 0.5578 0.4475  3 Ce 2.69-2.96
Ce6 0.2763 0.0578 0.5525  3 Ce 2.69-2.96
Ce7 0.7072 0.1068 0.4145  3 Ce 2.69-2.96, 1 Ir 3.00
Ce8 0.2928 0.6068 0.5855  3 Ce 2.69-2.96, 1 Ir 3.00
Tc1 0.8475 0.8594 0.6950  1 Ce 2.39
Tc2 0.1525 0.3594 0.3050  1 Ce 2.39
Ir1 0.5787 0.8385 0.1574  6 Ce 2.73-3.02
Ir2 0.4213 0.3385 0.8426  6 Ce 2.73-3.02

Calculated values
M_tot in μB per formula unit: 0.61
Energy above the most stable polymorph in this dataset in eV per atom: 0.1330



Computed, not measured: a relaxed structure of Ce2Tc3Ir at the PBE level of DFT.

Unit cell a=5.0974 b=5.0974 c=5.5964 alpha=95.92 beta=116.22 gamma=113.68
Last column: nearest neighbours and their distance in Å.
Fractional positions:
Ce1 0.7473 0.3818 0.1291  3 Ir 2.92-3.18, 5 Tc 2.99-3.23, 1 Ce 3.08
Ce2 0.2527 0.6182 0.8709  3 Ir 2.92-3.18, 5 Tc 2.99-3.23, 1 Ce 3.08
Tc1 0.5000 0.5000 0.5000  4 Tc 2.55-2.79, 2 Ir 2.80
Tc2 0.0000 0.0000 0.5000  4 Tc 2.55-2.79, 2 Ir 2.80
Tc3 0.5000 0.0000 0.5000  4 Tc 2.55, 2 Ir 2.83
Ir1 0.0000 0.0000 0.0000  6 Tc 2.80-2.83, 2 Ce 2.92

Calculated values
M_tot in μB per formula unit: 0.00
Energy in eV for the cell shown: -53.69



Computed, not measured: a relaxed structure of CeThTcIr at the PBE level of DFT.

Unit cell a=4.9868 b=4.9868 c=4.9868 alpha=60.00 beta=60.00 gamma=60.00
Last column: nearest neighbours and their distance in Å.
Fractional positions:
Ir1 0.0000 0.0000 0.0000  4 Th 3.05, 4 Ce 3.05
Ce1 0.2500 0.2500 0.2500  4 Tc 3.05, 4 Ir 3.05
Th1 0.7500 0.7500 0.7500  4 Tc 3.05, 4 Ir 3.05
Tc1 0.5000 0.5000 0.5000  4 Th 3.05, 4 Ce 3.05

Calculated values
M_tot in μB per formula unit: 0.00
Energy in eV for the cell shown: -33.95



Computed, not measured: a relaxed structure of CeTmTcIr at the PBE level of DFT.

Unit cell a=4.8467 b=4.8467 c=4.8467 alpha=60.00 beta=60.00 gamma=60.00
Last column: nearest neighbours and their distance in Å.
Fractional positions:
Ir1 0.5000 0.5000 0.5000  4 Ce 2.97, 4 Tm 2.97
Tm1 0.7500 0.7500 0.7500  4 Ir 2.97, 4 Tc 2.97
Tc1 0.0000 0.0000 0.0000  4 Tm 2.97, 4 Ce 2.97
Ce1 0.2500 0.2500 0.2500  4 Tc 2.97, 4 Ir 2.97

Calculated values
M_tot in μB per formula unit: 0.00
Energy in eV for the cell shown: -31.32



Computed, not measured: a relaxed structure of CeYTcIr at the PBE level of DFT.

Unit cell a=4.8840 b=4.8840 c=4.8840 alpha=60.00 beta=60.00 gamma=60.00
Last column: nearest neighbours and their distance in Å.
Fractional positions:
Y1 0.7500 0.7500 0.7500  4 Tc 2.99, 4 Ir 2.99
Ir1 0.0000 0.0000 0.0000  4 Ce 2.99, 4 Y 2.99
Tc1 0.5000 0.5000 0.5000  4 Y 2.99, 4 Ce 2.99
Ce1 0.2500 0.2500 0.2500  4 Tc 2.99, 4 Ir 2.99

Calculated values
M_tot in μB per formula unit: 0.00
Energy in eV for the cell shown: -33.04